TiGePb: optimized geometry, PBE.

Total energy ... -5.454 eV per atom

```
data_TiGePb
_chemical_formula_sum 'Ti2 Ge2 Pb2'
_cell_length_a 3.020
_cell_length_b 3.020
_cell_length_c 14.999
_cell_angle_alpha 90.73
_cell_angle_beta 90.07
_cell_angle_gamma 89.99
_symmetry_space_group_name_H-M 'P 1'
_symmetry_Int_Tables_number 1
_symmetry_space_group_name_Hall 'P 1'
loop_
_atom_site_label
_atom_site_type_symbol
_atom_site_fract_x
_atom_site_fract_y
_atom_site_fract_z
Pb1 Pb 0.022 0.304 0.357
Pb2 Pb 0.026 0.349 0.076
Ge1 Ge 0.022 0.329 0.799
Ge2 Ge 0.022 0.320 0.634
Ti1 Ti 0.524 0.837 0.913
Ti2 Ti 0.522 0.813 0.520
```

TiTlGePb2: optimized geometry, PBE.

Total energy ... -3.890 eV per atom

```
data_TiTlGePb2
_chemical_formula_sum 'Ti1 Tl1 Ge1 Pb2'
_cell_length_a 5.405
_cell_length_b 5.397
_cell_length_c 5.405
_cell_angle_alpha 90.00
_cell_angle_beta 90.00
_cell_angle_gamma 90.00
_symmetry_space_group_name_H-M 'P 1'
_symmetry_Int_Tables_number 1
_symmetry_space_group_name_Hall 'P 1'
loop_
_atom_site_label
_atom_site_type_symbol
_atom_site_fract_x
_atom_site_fract_y
_atom_site_fract_z
Tl1 Tl 0.000 0.500 0.000
Ti1 Ti 0.000 0.000 0.000
Pb1 Pb 0.500 0.000 0.000
Pb2 Pb 0.000 0.000 0.500
Ge1 Ge 0.500 0.500 0.500
```

TlGePb2: optimized geometry, PBE.

Total energy ... -3.435 eV per atom

```
data_TlGePb2
_chemical_formula_sum 'Tl1 Ge1 Pb2'
_cell_length_a 4.059
_cell_length_b 4.059
_cell_length_c 8.866
_cell_angle_alpha 76.77
_cell_angle_beta 76.77
_cell_angle_gamma 60.00
_symmetry_space_group_name_H-M 'P 1'
_symmetry_Int_Tables_number 1
_symmetry_space_group_name_Hall 'P 1'
loop_
_atom_site_label
_atom_site_type_symbol
_atom_site_fract_x
_atom_site_fract_y
_atom_site_fract_z
Pb1 Pb 0.265 0.265 0.206
Pb2 Pb 0.735 0.735 0.794
Ge1 Ge 0.000 0.000 0.000
Tl1 Tl 0.500 0.500 0.500
```

What is the total energy in the first record? -5.454 eV per atom

What is the formula in the first record? TiGePb

Which of these has the highest total energy? TlGePb2